DFT (SCAN) results for a crystal of CaLaY relaxed with PBEsol.

Unit cell a=3.638 b=3.638 c=9.083 alpha=90.00 beta=90.00 gamma=120.00
Positions (direct):
Y  0.667  0.333  0.343
Ca  0.000  0.000  0.006
La  0.333  0.667  0.651

density of states at the Fermi level	0.991	states/eV/atom
symmetry	No. 156
mass density	4.273	g/cm³
energy of formation from the pure elements	0.05	eV per atom

---

DFT (SCAN) results for a crystal of Ca2CrPb relaxed with PBEsol.

Unit cell a=3.581 b=3.581 c=10.394 alpha=80.08 beta=80.08 gamma=60.00
Positions (direct):
Pb  0.000  0.000  0.000
Cr  0.500  0.500  0.500
Ca  0.248  0.248  0.257
Ca  0.752  0.752  0.743

density of states at the Fermi level	0.666	states/eV/atom
symmetry	No. 166
mass density	4.981	g/cm³
energy of formation from the pure elements	0.09	eV per atom

---

DFT (SCAN) results for a crystal of Sr2LiAu2 relaxed with PBEsol.

Unit cell a=4.267 b=8.005 c=8.005 alpha=90.00 beta=90.00 gamma=90.00
Positions (direct):
Sr  0.500  0.171  0.671
Sr  0.500  0.671  0.829
Sr  0.500  0.829  0.329
Sr  0.500  0.329  0.171
Au  0.000  0.373  0.873
Au  0.000  0.873  0.627
Au  0.000  0.627  0.127
Au  0.000  0.127  0.373
Li  0.000  0.000  0.000
Li  0.000  0.500  0.500

density of states at the Fermi level	0.456	states/eV/atom
symmetry	No. 127
mass density	6.997	g/cm³
energy of formation from the pure elements	-0.76	eV per atom

---

DFT (SCAN) results for a crystal of Mo2AsBr relaxed with PBEsol.

Unit cell a=3.219 b=3.219 c=6.527 alpha=90.00 beta=90.00 gamma=90.00
Positions (direct):
Mo  0.000  0.000  0.809
Mo  0.000  0.000  0.191
As  0.500  0.500  0.000
Br  0.500  0.500  0.500

density of states at the Fermi level	0.956	states/eV/atom
symmetry	No. 123
energy relative to the elements, uncorrected	0.35	eV per atom
mass density	8.511	g/cm³

---

DFT (SCAN) results for a crystal of IrBr2Cl relaxed with PBEsol.

Unit cell a=3.201 b=4.944 c=6.598 alpha=112.07 beta=104.04 gamma=90.00
Positions (direct):
Ir  0.754  0.254  0.507
Br  0.090  0.090  0.181
Br  0.254  0.754  0.508
Cl  0.402  0.402  0.804

density of states at the Fermi level	0.250	states/eV/atom
symmetry	No. 8
energy relative to the elements, uncorrected	0.23	eV per atom
mass density	6.890	g/cm³

---

DFT (SCAN) results for a crystal of ZrPRu2 relaxed with PBEsol.

Unit cell a=3.122 b=4.741 c=4.885 alpha=116.24 beta=90.00 gamma=109.23
Positions (direct):
P  0.262  0.523  0.900
Ru  0.953  0.906  0.888
Ru  0.744  0.488  0.226
Zr  0.541  0.082  0.485

density of states at the Fermi level	0.901	states/eV/atom
symmetry	No. 8
mass density	8.926	g/cm³
energy of formation from the pure elements	-0.54	eV per atom

---

DFT (SCAN) results for a crystal of Y2ScMoPd relaxed with PBEsol.

Unit cell a=4.503 b=5.257 c=5.257 alpha=90.00 beta=90.00 gamma=90.00
Positions (direct):
Y  0.000  0.000  0.500
Y  0.000  0.500  0.000
Sc  0.000  0.000  0.000
Mo  0.500  0.500  0.500
Pd  0.500  0.000  0.000

density of states at the Fermi level	0.677	states/eV/atom
symmetry	No. 123
mass density	5.673	g/cm³
energy of formation from the pure elements	1.05	eV per atom

---

DFT (SCAN) results for a crystal of CdHgAu2 relaxed with PBEsol.

Unit cell a=3.112 b=4.520 c=5.658 alpha=90.00 beta=107.44 gamma=90.00
Positions (direct):
Au  0.789  0.000  0.971
Au  0.963  0.500  0.284
Hg  0.196  0.500  0.801
Cd  0.552  0.000  0.444

density of states at the Fermi level	0.263	states/eV/atom
symmetry	No. 6
mass density	15.464	g/cm³
energy of formation from the pure elements	-0.08	eV per atom